<one>
DFT (PBE-GGA) results for an optimized crystal structure of LuSc2Ag.

abc: 3.3443 3.3443 8.4991
angles: 90.00 90.00 90.00
Last column: nearest neighbours and their distance in Å.
Element x y z (fractional)
Lu (0.5000, 0.5000, 0.5000)  4 Lu 3.34, 8 Sc 3.38
Sc (0.0000, 0.0000, 0.7838)  4 Ag 2.99, 4 Sc 3.34
Sc (0.0000, 0.0000, 0.2162)  4 Ag 2.99, 4 Sc 3.34
Ag (0.5000, 0.5000, 0.0000)  8 Sc 2.99, 4 Ag 3.34

Output
SG: P4/mmm



<two>
DFT (PBE-GGA) results for an optimized crystal structure of LuSc2Ag.

abc: 4.7684 4.4196 4.4196
angles: 90.00 90.00 90.00
Last column: nearest neighbours and their distance in Å.
Element x y z (fractional)
Sc (0.0000, 0.0000, 0.5000)  4 Sc 3.13, 4 Ag 3.25, 4 Lu 3.25
Sc (0.0000, 0.5000, 0.0000)  4 Sc 3.13, 4 Ag 3.25, 4 Lu 3.25
Lu (0.5000, 0.5000, 0.5000)  4 Ag 3.13, 8 Sc 3.25
Ag (0.5000, 0.0000, 0.0000)  4 Lu 3.13, 8 Sc 3.25

Output
SG: P4/mmm



<one> is the most stable structure; the next one sits 0.066 eV/atom above it.



<one>
DFT (PBE-GGA) results for an optimized crystal structure of Sm2LuAg.

abc: 3.5696 3.5696 10.7678
angles: 80.46 80.46 60.00
Last column: nearest neighbours and their distance in Å.
Element x y z (fractional)
Ag (0.0000, 0.0000, 0.0000)  6 Sm 3.19
Sm (0.2567, 0.2567, 0.2300)  3 Ag 3.19, 3 Lu 3.52
Sm (0.7433, 0.7433, 0.7700)  3 Ag 3.19, 3 Lu 3.52
Lu (0.5000, 0.5000, 0.5000)  6 Sm 3.52, 6 Lu 3.57

Output
SG: R-3m



<two>
DFT (PBE-GGA) results for an optimized crystal structure of Sm2LuAg.

abc: 5.4118 5.4118 5.4118
angles: 60.00 60.00 60.00
Last column: nearest neighbours and their distance in Å.
Element x y z (fractional)
Sm (0.7500, 0.7500, 0.7500)  4 Ag 3.31, 4 Lu 3.31
Sm (0.2500, 0.2500, 0.2500)  4 Ag 3.31, 4 Lu 3.31
Lu (0.0000, 0.0000, 0.0000)  8 Sm 3.31
Ag (0.5000, 0.5000, 0.5000)  8 Sm 3.31

Output
SG: Fm-3m



<three>
DFT (PBE-GGA) results for an optimized crystal structure of Sm2LuAg.

abc: 3.6299 3.6299 8.7577
angles: 90.00 90.00 90.00
Last column: nearest neighbours and their distance in Å.
Element x y z (fractional)
Lu (0.5000, 0.5000, 0.5000)  8 Sm 3.54, 4 Lu 3.63
Sm (0.0000, 0.0000, 0.2218)  4 Ag 3.22, 4 Lu 3.54
Sm (0.0000, 0.0000, 0.7782)  4 Ag 3.22, 4 Lu 3.54
Ag (0.5000, 0.5000, 0.0000)  8 Sm 3.22

Output
SG: P4/mmm



<three> is the most stable structure; the next one sits 0.094 eV/atom above it.



<one>
DFT (PBE-GGA) results for an optimized crystal structure of Lu2TaAg.

abc: 3.0829 3.0829 11.2855
angles: 82.15 82.15 60.00
Last column: nearest neighbours and their distance in Å.
Element x y z (fractional)
Lu (0.0891, 0.0891, 0.7328)  1 Ta 2.98, 6 Lu 3.08, 3 Ag 3.15
Lu (0.9109, 0.9109, 0.2672)  1 Ta 2.98, 6 Lu 3.08, 3 Ag 3.15
Ta (0.0000, 0.0000, 0.0000)  2 Lu 2.98, 6 Ta 3.08
Ag (0.5000, 0.5000, 0.5000)  6 Ag 3.08, 6 Lu 3.15

Output
SG: R-3m



<two>
DFT (PBE-GGA) results for an optimized crystal structure of Lu2TaAg.

abc: 3.2638 3.2638 8.3962
angles: 90.00 90.00 90.00
Last column: nearest neighbours and their distance in Å.
Element x y z (fractional)
Ta (0.5000, 0.5000, 0.5000)  8 Lu 3.15, 4 Ta 3.26
Ag (0.5000, 0.5000, 0.0000)  8 Lu 3.09, 4 Ag 3.26
Lu (0.0000, 0.0000, 0.7550)  4 Ag 3.09, 4 Ta 3.15, 4 Lu 3.26
Lu (0.0000, 0.0000, 0.2450)  4 Ag 3.09, 4 Ta 3.15, 4 Lu 3.26

Output
SG: P4/mmm



<two> is the most stable structure; the next one sits 0.492 eV/atom above it.



<one>
DFT (PBE-GGA) results for an optimized crystal structure of TbLuAg.

abc: 3.6275 5.0120 5.0120
angles: 120.00 90.00 90.00
Last column: nearest neighbours and their distance in Å.
Element x y z (fractional)
Tb (0.6164, 0.6667, 0.3333)  3 Ag 3.11, 6 Lu 3.35-3.48
Ag (0.3011, 0.3333, 0.6667)  3 Lu 3.00, 3 Tb 3.11
Lu (0.0825, 0.0000, 0.0000)  3 Ag 3.00, 3 Tb 3.35

Output
SG: P3m1



<two>
DFT (PBE-GGA) results for an optimized crystal structure of TbLuAg.

abc: 3.5549 3.5549 6.7121
angles: 105.36 105.36 90.00
Last column: nearest neighbours and their distance in Å.
Element x y z (fractional)
Ag (0.6726, 0.6726, 0.3453)  4 Lu 3.06, 4 Tb 3.19
Tb (0.0142, 0.0142, 0.0285)  4 Ag 3.19, 4 Lu 3.55, 4 Tb 3.55
Lu (0.3131, 0.3131, 0.6262)  4 Ag 3.06

Output
SG: I4mm



<two> is the most stable structure; the next one sits 0.136 eV/atom above it.



<one>
DFT (PBE-GGA) results for an optimized crystal structure of Lu2AgTe.

abc: 4.0504 4.0504 7.8927
angles: 75.13 75.13 60.00
Last column: nearest neighbours and their distance in Å.
Element x y z (fractional)
Lu (0.7444, 0.7444, 0.7668)  3 Ag 2.93, 3 Te 3.08
Lu (0.2556, 0.2556, 0.2332)  3 Ag 2.93, 3 Te 3.08
Ag (0.0000, 0.0000, 0.0000)  6 Lu 2.93
Te (0.5000, 0.5000, 0.5000)  6 Lu 3.08

Output
SG: R-3m



<two>
DFT (PBE-GGA) results for an optimized crystal structure of Lu2AgTe.

abc: 3.7768 3.7768 6.8427
angles: 90.00 90.00 90.00
Last column: nearest neighbours and their distance in Å.
Element x y z (fractional)
Te (0.5000, 0.5000, 0.5000)  8 Lu 3.20, 2 Ag 3.42
Lu (0.0000, 0.0000, 0.2429)  4 Ag 3.15, 4 Te 3.20, 2 Lu 3.32-3.52
Lu (0.0000, 0.0000, 0.7571)  4 Ag 3.15, 4 Te 3.20, 2 Lu 3.32-3.52
Ag (0.5000, 0.5000, 0.0000)  8 Lu 3.15, 2 Te 3.42

Output
SG: P4/mmm



<one> is the most stable structure; the next one sits 0.068 eV/atom above it.



<one>
DFT (PBE-GGA) results for an optimized crystal structure of LuThAg2.

abc: 5.1943 5.1943 5.1943
angles: 60.00 60.00 60.00
Last column: nearest neighbours and their distance in Å.
Element x y z (fractional)
Lu (0.0000, 0.0000, 0.0000)  8 Ag 3.18
Th (0.5000, 0.5000, 0.5000)  8 Ag 3.18
Ag (0.7500, 0.7500, 0.7500)  4 Th 3.18, 4 Lu 3.18
Ag (0.2500, 0.2500, 0.2500)  4 Th 3.18, 4 Lu 3.18

Output
SG: Fm-3m



<two>
DFT (PBE-GGA) results for an optimized crystal structure of LuThAg2.

abc: 3.5191 3.5191 7.8293
angles: 90.00 90.00 90.00
Last column: nearest neighbours and their distance in Å.
Element x y z (fractional)
Ag (0.0000, 0.0000, 0.7790)  4 Lu 3.03, 4 Th 3.31
Ag (0.0000, 0.0000, 0.2210)  4 Lu 3.03, 4 Th 3.31
Th (0.5000, 0.5000, 0.5000)  8 Ag 3.31, 4 Th 3.52
Lu (0.5000, 0.5000, 0.0000)  8 Ag 3.03

Output
SG: P4/mmm



<two> is the most stable structure; the next one sits 0.047 eV/atom above it.